(1)
DFT (PBE) results for crystalline LaTb3Ho4 at its relaxed geometry.

Cell: 11.3650 7.2922 6.2874 Å, 90.00 90.00 90.00°
Last column: nearest neighbours and their distance in Å.
Positions (direct):
1 La 0.0000 0.1255 0.0000  6 Tb 3.53-3.66, 6 Ho 3.55-3.66
2 La 0.5000 0.8745 0.5000  6 Tb 3.53-3.66, 6 Ho 3.55-3.66
3 Tb 0.0000 0.8718 0.5026  6 Ho 3.51-3.70, 4 Tb 3.54-3.55, 2 La 3.63-3.66
4 Tb 0.2492 0.1276 0.3365  6 Ho 3.53-3.68, 2 La 3.53-3.55, 4 Tb 3.54-3.65
5 Tb 0.2508 0.8724 0.8365  6 Ho 3.53-3.68, 2 La 3.53-3.55, 4 Tb 3.54-3.65
6 Tb 0.5000 0.1282 0.0026  6 Ho 3.51-3.70, 4 Tb 3.54-3.55, 2 La 3.63-3.66
7 Tb 0.7492 0.8724 0.8365  6 Ho 3.53-3.68, 2 La 3.53-3.55, 4 Tb 3.54-3.65
8 Tb 0.7508 0.1276 0.3365  6 Ho 3.53-3.68, 2 La 3.53-3.55, 4 Tb 3.54-3.65
9 Ho 0.0000 0.3786 0.5030  6 Ho 3.49-3.62, 4 Tb 3.53-3.70, 2 La 3.63-3.66
10 Ho 0.0000 0.6232 0.0028  6 Ho 3.51-3.62, 4 Tb 3.54-3.63, 2 La 3.63-3.66
11 Ho 0.2479 0.6230 0.3365  6 Ho 3.49-3.62, 5 Tb 3.51-3.68, 1 La 3.55
12 Ho 0.2521 0.3770 0.8365  6 Ho 3.49-3.62, 5 Tb 3.51-3.68, 1 La 3.55
13 Ho 0.5000 0.3768 0.5028  6 Ho 3.51-3.62, 4 Tb 3.54-3.63, 2 La 3.63-3.66
14 Ho 0.5000 0.6214 0.0030  6 Ho 3.49-3.62, 4 Tb 3.53-3.70, 2 La 3.63-3.66
15 Ho 0.7479 0.3770 0.8365  6 Ho 3.49-3.62, 5 Tb 3.51-3.68, 1 La 3.55
16 Ho 0.7521 0.6230 0.3365  6 Ho 3.49-3.62, 5 Tb 3.51-3.68, 1 La 3.55

Properties
**Fermi-level density of states**: 1.716 states/eV per atom
**Energy of formation from the pure elements**: 0.0190 eV/atom


(2)
DFT (PBE) results for crystalline LaTbHo2 at its relaxed geometry.

Cell: 5.7292 5.7292 5.7292 Å, 60.00 60.00 60.00°
Last column: nearest neighbours and their distance in Å.
Positions (direct):
1 La 0.0000 0.0000 0.0000  8 Ho 3.51
2 Tb 0.5000 0.5000 0.5000  8 Ho 3.51
3 Ho 0.2500 0.2500 0.2500  4 Tb 3.51, 4 La 3.51
4 Ho 0.7500 0.7500 0.7500  4 La 3.51, 4 Tb 3.51

Properties
**Fermi-level density of states**: 1.847 states/eV per atom
**Energy of formation from the pure elements**: 0.1358 eV/atom


Q: Which formula does entry 2 have?
A: LaTbHo2